Record 1
# LiPuAu2

A relaxed LiPuAu2 crystal (PBE, the Alexandria database).

a = 4.5249 Å, b = 4.5249 Å, c = 5.4978 Å
α = 65.70°, β = 65.70°, γ = 60.00°
Last column: magnetic moment on the atom in μB.
Sites, in units of the cell vectors:
1 Li 0.0000 0.0000 0.0000  0.02
2 Au 0.2816 0.2816 0.1553  0.02
3 Au 0.7184 0.7184 0.8447  0.02
4 Pu 0.5000 0.5000 0.5000  5.39

Output
space-group type: R-3m
E_form: -42 kJ per mole of atoms
electronic total energy: -0.451 Ry/atom
density of states at the Fermi level: 3.987 states/eV per atom
total magnetic moment: 1.464 μB/atom



Record 2
# LiPu2Au2

A relaxed LiPu2Au2 crystal (PBE, the Alexandria database).

a = 4.3036 Å, b = 7.5028 Å, c = 7.5028 Å
α = 90.00°, β = 90.00°, γ = 90.00°
Last column: magnetic moment on the atom in μB.
Sites, in units of the cell vectors:
1 Li 0.0000 0.0000 0.0000  0.02
2 Li 0.0000 0.5000 0.5000  0.02
3 Pu 0.5000 0.1604 0.6604  5.47
4 Pu 0.5000 0.6604 0.8396  5.47
5 Pu 0.5000 0.8396 0.3396  5.47
6 Pu 0.5000 0.3396 0.1604  5.47
7 Au 0.0000 0.3578 0.8578  0.03
8 Au 0.0000 0.8578 0.6422  0.03
9 Au 0.0000 0.6422 0.1422  0.03
10 Au 0.0000 0.1422 0.3578  0.03

Output
space-group type: P4/mbm
E_form: -29 kJ per mole of atoms
electronic total energy: -0.568 Ry/atom
density of states at the Fermi level: 4.828 states/eV per atom
total magnetic moment: 2.377 μB/atom